Entry from Alexandria: a relaxed structure of ZrAuSe2 (PBE).

As for the crystal system: trigonal. The uncorrected formation energy comes out at -0.6201 eV per atom.

```
4
Lattice="7.555 0.057 0.035 6.413 3.994 0.035 6.413 1.860 3.535" Properties=species:S:1:pos:R:3 pbc="T T T"
Au 15.312 4.441 2.708
Se 0.762 0.221 0.135
Se 4.509 1.308 0.797
Zr 9.988 2.897 1.766
```

Entry from Alexandria: a relaxed structure of LaCe3Dy2Se6 (PBE).

As for the crystal system: monoclinic. The uncorrected formation energy comes out at -1.8284 eV per atom.

```
12
Lattice="7.226 -0.004 -0.003 -3.615 6.257 -0.003 -1.207 -2.090 6.865" Properties=species:S:1:pos:R:3 pbc="T T T"
La 0.000 0.000 0.000
Ce -2.463 4.198 3.430
Ce 4.867 -0.035 3.430
Ce 1.202 2.081 3.430
Dy -0.009 4.174 -0.003
Dy 3.621 2.078 -0.003
Se 3.648 2.010 5.174
Se 2.366 4.097 1.646
Se -1.244 2.153 1.685
Se -0.082 4.165 5.174
Se 0.038 0.066 5.214
Se 2.487 -0.002 1.685
```

Entry from Alexandria: a relaxed structure of NpSc2Pd (PBE).

For the formation energy, the calculation gives -0.81 eV per formula unit. As for the crystal system: tetragonal.

```
4
Lattice="-2.529 -0.850 1.781 -0.728 -2.288 -2.127 4.582 -5.199 4.024" Properties=species:S:1:pos:R:3 pbc="T T T"
Np -1.629 -1.569 -0.173
Sc 3.268 -3.708 2.870
Sc 1.314 -1.491 1.154
Pd 0.662 -4.169 1.839
```

Entry from Alexandria: a relaxed structure of GdSiTc (PBE).

As for the crystal system: hexagonal. The uncorrected formation energy comes out at -0.4192 eV per atom.

```
3
Lattice="3.869 0.000 0.000 0.000 4.215 0.000 0.000 -2.108 3.651" Properties=species:S:1:pos:R:3 pbc="T T T"
Si 0.645 0.000 0.000
Gd 2.579 2.108 1.217
Tc 0.645 0.000 2.434
```

| no. | DFT total energy (eV/atom) |
| --- | --- |
| 1 | -5.319 |
| 2 | -6.232 |
| 3 | -7.903 |
| 4 | -10.376 |